Material: Ca2NiPbF8
Method: DFT, GGA+U
State: relaxed

Output
DOS(E_F): 0.00 states/eV per atom
uncorrected energy: -5.142 eV per atom

Cell and atoms, written as CIF:
```
data_Ca2NiPbF8
_symmetry_space_group_name_H-M 'P 1 2/m 1'
_symmetry_Int_Tables_number 10
_symmetry_space_group_name_Hall '-P 2y'
_cell_length_a 4.1983
_cell_length_b 7.5361
_cell_length_c 5.4313
_cell_angle_alpha 90.00
_cell_angle_beta 94.68
_cell_angle_gamma 90.00
loop_
_atom_site_label
_atom_site_fract_x
_atom_site_fract_y
_atom_site_fract_z
_atom_site_occupancy
Ca1 0.0000 0.2332 0.0000 1
Ni1 0.5000 0.0000 0.5000 1
Pb1 0.5000 0.5000 0.5000 1
F1 0.9997 0.5000 0.2338 1
F2 0.0914 0.0000 0.2666 1
F3 0.4394 0.2162 0.7455 1
```